Entry 1:
KCd3Pt: relaxed, PBE.

The structure in POSCAR format:
```
KCd3Pt
1.0
4.906 -2.815 0.000
4.906 2.815 0.000
-2.691 0.000 9.005
K Cd Pt
2 6 2
Cartesian
-0.400 0.000 1.740
7.521 0.000 7.265
1.077 0.000 5.228
0.830 0.000 8.393
2.805 0.000 2.256
4.316 0.000 6.749
6.292 0.000 0.612
6.044 0.000 3.777
3.561 1.440 4.503
3.561 -1.440 4.503
```

Output
D(E_F): 3.5 states/eV per cell
energy of formation from the pure elements: -0.14 eV/atom
energy relative to the lowest polymorph listed for this composition: 2.55 kcal/mol of atoms
total magnetization: 0.00 μB per formula unit

***

Entry 2:
Tm4InAg5: relaxed, PBE.

The structure in POSCAR format:
```
Tm4InAg5
1.0
3.591 0.000 0.000
0.000 3.591 0.000
0.000 0.000 17.603
Tm In Ag
4 1 5
Cartesian
0.000 0.000 1.813
0.000 0.000 5.408
0.000 0.000 12.195
0.000 0.000 15.790
0.000 0.000 8.801
1.796 1.796 0.000
1.796 1.796 3.627
1.796 1.796 7.084
1.796 1.796 10.519
1.796 1.796 13.976
```

Output
D(E_F): 6.2 states/eV per cell
energy of formation from the pure elements: -0.29 eV/atom
total magnetization: 0.00 μB per formula unit

***

Entry 3:
AcHoAlGe: relaxed, PBE.

The structure in POSCAR format:
```
AcHoAlGe
1.0
4.169 0.000 0.000
0.000 2.279 5.809
0.000 -2.279 5.809
Ac Ho Al Ge
1 1 1 1
Cartesian
0.000 0.000 0.000
2.084 0.000 8.388
0.000 0.000 3.243
2.084 0.000 4.866
```

Output
D(E_F): 2.7 states/eV per cell
energy of formation from the pure elements: -0.57 eV/atom
total magnetization: 0.00 μB per formula unit

***

How do the records compare in theoretical density? In the order shown, they have 7.6; 9.7; 7.4 g/cm³.
How do the records compare in calculated total energy? In the order shown, they have -2.121; -3.774; -4.827 eV/atom.